# 1
Crystalline POsPbS2 at its relaxed geometry. Source: Alexandria, functional PBE.

formation energy without anion corrections: 331 meV/atom
ρ: 7.4 g/cm3
excess energy over the best structure of this formula in the dataset: 0 meV per atom
magnetic moment: 0.27 μB per formula unit

Structure (extended XYZ):
```
5
Lattice="4.976 0.000 0.000 0.000 4.976 0.000 0.000 0.000 4.472" Properties=species:S:1:pos:R:3 pbc="T T T"
P 0.000 0.000 0.000
Os 0.000 0.000 2.236
Pb 2.488 2.488 0.000
S 0.000 2.488 2.236
S 2.488 0.000 2.236
```

=====

# 2
Crystalline POsPbS2 at its relaxed geometry. Source: Alexandria, functional PBE.

formation energy without anion corrections: 2008 meV/atom
ρ: 6.1 g/cm3
excess energy over the best structure of this formula in the dataset: 1677 meV per atom
magnetic moment: 3.89 μB per formula unit

Structure (extended XYZ):
```
5
Lattice="5.045 0.000 0.000 0.000 5.045 0.000 0.000 0.000 5.231" Properties=species:S:1:pos:R:3 pbc="T T T"
P 0.000 0.000 0.000
Os 2.523 2.523 0.000
Pb 0.000 0.000 2.615
S 0.000 2.523 2.615
S 2.523 0.000 2.615
```

=====

# 3
Crystalline VPOsPb2 at its relaxed geometry. Source: Alexandria, functional PBE.

ρ: 9.2 g/cm3
magnetic moment: 0.11 μB per formula unit
formation enthalpy at 0 K: 1.243 eV/atom

Structure (extended XYZ):
```
5
Lattice="5.364 0.000 0.000 0.000 5.364 0.000 0.000 0.000 4.315" Properties=species:S:1:pos:R:3 pbc="T T T"
V 0.000 0.000 0.000
P 2.682 2.682 2.157
Os 2.682 2.682 0.000
Pb 0.000 2.682 2.157
Pb 2.682 0.000 2.157
```

=====

# 4
Crystalline POsPd2 at its relaxed geometry. Source: Alexandria, functional PBE.

ρ: 11.8 g/cm3
magnetic moment: 0.23 μB per formula unit
formation enthalpy at 0 K: 0.414 eV/atom

Structure (extended XYZ):
```
8
Lattice="-1.812 1.812 9.332 1.812 -1.812 9.332 1.812 1.812 -9.332" Properties=species:S:1:pos:R:3 pbc="T T T"
P 0.000 0.000 0.000
P 0.000 1.812 4.666
Os 1.812 0.000 4.666
Os 0.000 0.000 9.332
Pd 2.718 0.900 -2.333
Pd 0.900 0.906 2.333
Pd -0.906 0.912 6.999
Pd 0.912 0.906 11.666
```